A geometry-optimized ZrSc2MnCo structure. Source: Alexandria, functional GGA-PBE.

* calculated density: 5.1 g cm⁻³
* E: -7.052 eV per atom

a = 4.667 Å, b = 4.667 Å, c = 4.378 Å
α = 90.00°, β = 90.00°, γ = 90.00°
Space group P4/mmm (No. 123)
Asymmetric unit:
Zr 0.000 0.000 0.000 [1 per cell]
Sc 0.000 0.500 0.500 [2 per cell]
Mn 0.500 0.500 0.500 [1 per cell]
Co 0.500 0.500 0.000 [1 per cell]